# 1
{
  "formula": "SrZnSnPt3",
  "functional": "PBE",
  "state": "optimized geometry",
  "space_group": "Cmcm (63)",
  "total_energy_ry_per_atom": -0.3425,
  "ef_ev_per_atom": -0.480,
  "lattice_angstrom": [[3.4514, -6.3175, 0.0000], [3.4514, 6.3175, 0.0000], [0.0000, 0.0000, 5.9461]],
  "species": ["Sr", "Sr", "Zn", "Zn", "Sn", "Sn", "Pt", "Pt", "Pt", "Pt", "Pt", "Pt"],
  "frac_coords": [[0.2150, 0.7850, 0.7500], [0.7850, 0.2150, 0.2500], [0.4596, 0.5404, 0.7500], [0.5404, 0.4596, 0.2500], [0.1322, 0.8678, 0.2500], [0.8678, 0.1322, 0.7500], [0.2144, 0.2144, 0.0000], [0.2144, 0.2144, 0.5000], [0.3363, 0.6637, 0.2500], [0.6637, 0.3363, 0.7500], [0.7856, 0.7856, 0.0000], [0.7856, 0.7856, 0.5000]]
}

=====

# 2
{
  "formula": "Ti2IOF",
  "functional": "PBE",
  "state": "optimized geometry",
  "space_group": "P4/mmm (123)",
  "total_energy_ry_per_atom": -0.3287,
  "lattice_angstrom": [[5.2620, 0.0000, 0.0000], [0.0000, 5.2620, 0.0000], [0.0000, 0.0000, 4.2216]],
  "species": ["Ti", "Ti", "I", "O", "F"],
  "frac_coords": [[0.0000, 0.5000, 0.0000], [0.5000, 0.0000, 0.0000], [0.0000, 0.0000, 0.0000], [0.0000, 0.0000, 0.5000], [0.5000, 0.5000, 0.5000]]
}

=====

# 3
{
  "formula": "CaCdF5",
  "functional": "PBE",
  "state": "optimized geometry",
  "space_group": "Immm (71)",
  "total_energy_ry_per_atom": -0.3081,
  "lattice_angstrom": [[4.2443, 0.0000, 0.0000], [0.0000, 7.0810, 0.0000], [0.0000, 0.0000, 8.6824]],
  "species": ["Ca", "Ca", "Cd", "Cd", "F", "F", "F", "F", "F", "F", "F", "F", "F", "F"],
  "frac_coords": [[0.0000, 0.0000, 0.0000], [0.5000, 0.5000, 0.5000], [0.0000, 0.0000, 0.5000], [0.5000, 0.5000, 0.0000], [0.0000, 0.0000, 0.2620], [0.0000, 0.0000, 0.7380], [0.0000, 0.3251, 0.0000], [0.0000, 0.5000, 0.5000], [0.0000, 0.6749, 0.0000], [0.5000, 0.0000, 0.0000], [0.5000, 0.1749, 0.5000], [0.5000, 0.5000, 0.2380], [0.5000, 0.5000, 0.7620], [0.5000, 0.8251, 0.5000]]
}

=====

# 4
{
  "formula": "Ta2WBr",
  "functional": "PBE",
  "state": "optimized geometry",
  "space_group": "P4/mmm (123)",
  "total_energy_ry_per_atom": -0.6805,
  "de_polymorph_kj_per_mol_atoms": 14.9,
  "lattice_angstrom": [[3.2002, 0.0000, 0.0000], [0.0000, 3.2002, 0.0000], [0.0000, 0.0000, 7.6219]],
  "species": ["Ta", "Ta", "W", "Br"],
  "frac_coords": [[0.0000, 0.0000, 0.2029], [0.0000, 0.0000, 0.7971], [0.5000, 0.5000, 0.0000], [0.5000, 0.5000, 0.5000]]
}

=====

# 5
{
  "formula": "Tc5Os4",
  "functional": "PBE",
  "state": "optimized geometry",
  "space_group": "P6_3/mcm (193)",
  "total_energy_ry_per_atom": -0.7814,
  "ef_ev_per_atom": 0.119,
  "de_polymorph_kj_per_mol_atoms": 4.6,
  "lattice_angstrom": [[7.4918, 0.0000, 0.0000], [-3.7459, 6.4881, 0.0000], [0.0000, 0.0000, 5.4479]],
  "species": ["Tc", "Tc", "Tc", "Tc", "Tc", "Tc", "Tc", "Tc", "Tc", "Tc", "Os", "Os", "Os", "Os", "Os", "Os", "Os", "Os"],
  "frac_coords": [[0.0000, 0.3338, 0.2500], [0.0000, 0.6662, 0.7500], [0.3333, 0.6667, 0.0000], [0.3333, 0.6667, 0.5000], [0.3338, 0.0000, 0.2500], [0.3338, 0.3338, 0.7500], [0.6662, 0.0000, 0.7500], [0.6662, 0.6662, 0.2500], [0.6667, 0.3333, 0.0000], [0.6667, 0.3333, 0.5000], [0.0000, 0.0000, 0.0000], [0.0000, 0.0000, 0.5000], [0.0000, 0.3329, 0.7500], [0.0000, 0.6671, 0.2500], [0.3329, 0.0000, 0.7500], [0.3329, 0.3329, 0.2500], [0.6671, 0.0000, 0.2500], [0.6671, 0.6671, 0.7500]]
}

=====

# 6
{
  "formula": "SiPSe2",
  "functional": "PBE",
  "state": "optimized geometry",
  "space_group": "Cmm2 (35)",
  "total_energy_ry_per_atom": -0.2947,
  "de_polymorph_kj_per_mol_atoms": 50.9,
  "lattice_angstrom": [[3.5588, 0.0000, 0.0000], [0.0000, 3.9719, 0.0000], [0.0000, 0.0000, 12.6958]],
  "species": ["Si", "Si", "P", "P", "Se", "Se", "Se", "Se"],
  "frac_coords": [[0.0000, 0.0000, 0.0000], [0.5000, 0.5000, 0.0000], [0.0000, 0.5000, 0.1428], [0.5000, 0.0000, 0.1428], [0.0000, 0.0000, 0.4167], [0.0000, 0.5000, 0.7588], [0.5000, 0.0000, 0.7588], [0.5000, 0.5000, 0.4167]]
}

=====

# 7
{
  "formula": "TlNiSN2",
  "functional": "PBE",
  "state": "optimized geometry",
  "space_group": "P4/mmm (123)",
  "total_energy_ry_per_atom": -0.3414,
  "de_polymorph_kj_per_mol_atoms": 0.0,
  "lattice_angstrom": [[3.6519, 0.0000, 0.0000], [0.0000, 3.6519, 0.0000], [0.0000, 0.0000, 6.7568]],
  "species": ["Tl", "Ni", "S", "N", "N"],
  "frac_coords": [[0.0000, 0.0000, 0.0000], [0.5000, 0.5000, 0.5000], [0.5000, 0.5000, 0.0000], [0.0000, 0.5000, 0.5000], [0.5000, 0.0000, 0.5000]]
}

=====

# 8
{
  "formula": "ZrP2SeS",
  "functional": "PBE",
  "state": "optimized geometry",
  "space_group": "P4/mmm (123)",
  "total_energy_ry_per_atom": -0.3665,
  "de_polymorph_kj_per_mol_atoms": 0.0,
  "lattice_angstrom": [[5.1533, 0.0000, 0.0000], [0.0000, 5.1533, 0.0000], [0.0000, 0.0000, 4.7749]],
  "species": ["Zr", "P", "P", "Se", "S"],
  "frac_coords": [[0.0000, 0.0000, 0.0000], [0.0000, 0.5000, 0.0000], [0.5000, 0.0000, 0.0000], [0.5000, 0.5000, 0.5000], [0.0000, 0.0000, 0.5000]]
}

=====

# 9
{
  "formula": "CuSiPt",
  "functional": "PBE",
  "state": "optimized geometry",
  "space_group": "F-43m (216)",
  "total_energy_ry_per_atom": -0.4016,
  "lattice_angstrom": [[5.7691, 0.0000, 0.0000], [0.0000, 5.7691, 0.0000], [0.0000, 0.0000, 5.7691]],
  "species": ["Cu", "Cu", "Cu", "Cu", "Si", "Si", "Si", "Si", "Pt", "Pt", "Pt", "Pt"],
  "frac_coords": [[0.0000, 0.0000, 0.0000], [0.0000, 0.5000, 0.5000], [0.5000, 0.0000, 0.5000], [0.5000, 0.5000, 0.0000], [0.0000, 0.0000, 0.5000], [0.0000, 0.5000, 0.0000], [0.5000, 0.0000, 0.0000], [0.5000, 0.5000, 0.5000], [0.2500, 0.2500, 0.2500], [0.2500, 0.7500, 0.7500], [0.7500, 0.2500, 0.7500], [0.7500, 0.7500, 0.2500]]
}

=====

# 10
{
  "formula": "Pr2Zn2Pd5Pt",
  "functional": "PBE",
  "state": "optimized geometry",
  "space_group": "P4/mbm (127)",
  "total_energy_ry_per_atom": -0.3688,
  "ef_ev_per_atom": -0.606,
  "lattice_angstrom": [[9.6448, 0.0000, 0.0000], [0.0000, 9.6448, 0.0000], [0.0000, 0.0000, 3.9353]],
  "species": ["Pr", "Pr", "Pr", "Pr", "Zn", "Zn", "Zn", "Zn", "Pd", "Pd", "Pd", "Pd", "Pd", "Pd", "Pd", "Pd", "Pd", "Pd", "Pt", "Pt"],
  "frac_coords": [[0.1837, 0.3163, 0.0000], [0.3163, 0.8163, 0.0000], [0.6837, 0.1837, 0.0000], [0.8163, 0.6837, 0.0000], [0.1143, 0.6143, 0.0000], [0.3857, 0.1143, 0.0000], [0.6143, 0.8857, 0.0000], [0.8857, 0.3857, 0.0000], [0.0000, 0.5000, 0.5000], [0.0631, 0.7943, 0.5000], [0.2057, 0.0631, 0.5000], [0.2943, 0.5631, 0.5000], [0.4369, 0.2943, 0.5000], [0.5000, 0.0000, 0.5000], [0.5631, 0.7057, 0.5000], [0.7057, 0.4369, 0.5000], [0.7943, 0.9369, 0.5000], [0.9369, 0.2057, 0.5000], [0.0000, 0.0000, 0.0000], [0.5000, 0.5000, 0.0000]]
}

=====

# 11
{
  "formula": "HoTmSn2",
  "functional": "PBE",
  "state": "optimized geometry",
  "space_group": "P4/mmm (123)",
  "total_energy_ry_per_atom": -0.3562,
  "ef_ev_per_atom": -0.582,
  "lattice_angstrom": [[4.8856, 0.0000, 0.0000], [0.0000, 4.8856, 0.0000], [0.0000, 0.0000, 4.3514]],
  "species": ["Ho", "Tm", "Sn", "Sn"],
  "frac_coords": [[0.0000, 0.0000, 0.0000], [0.5000, 0.5000, 0.0000], [0.0000, 0.5000, 0.5000], [0.5000, 0.0000, 0.5000]]
}

=====

# 12
{
  "formula": "LiTbThZn",
  "functional": "PBE",
  "state": "optimized geometry",
  "space_group": "F-43m (216)",
  "total_energy_ry_per_atom": -0.2817,
  "ef_ev_per_atom": -0.023,
  "lattice_angstrom": [[7.2998, 0.0000, 0.0000], [0.0000, 7.2998, 0.0000], [0.0000, 0.0000, 7.2998]],
  "species": ["Li", "Li", "Li", "Li", "Tb", "Tb", "Tb", "Tb", "Th", "Th", "Th", "Th", "Zn", "Zn", "Zn", "Zn"],
  "frac_coords": [[0.0000, 0.0000, 0.0000], [0.0000, 0.5000, 0.5000], [0.5000, 0.0000, 0.5000], [0.5000, 0.5000, 0.0000], [0.2500, 0.2500, 0.2500], [0.2500, 0.7500, 0.7500], [0.7500, 0.2500, 0.7500], [0.7500, 0.7500, 0.2500], [0.2500, 0.2500, 0.7500], [0.2500, 0.7500, 0.2500], [0.7500, 0.2500, 0.2500], [0.7500, 0.7500, 0.7500], [0.0000, 0.0000, 0.5000], [0.0000, 0.5000, 0.0000], [0.5000, 0.0000, 0.0000], [0.5000, 0.5000, 0.5000]]
}

=====

# 13
{
  "formula": "CePr4N5",
  "functional": "PBE",
  "state": "optimized geometry",
  "space_group": "I4 (79)",
  "total_energy_ry_per_atom": -0.5898,
  "lattice_angstrom": [[-4.0912, 4.0912, 2.5920], [4.0912, -4.0912, 2.5920], [4.0912, 4.0912, -2.5920]],
  "species": ["Ce", "Pr", "Pr", "Pr", "Pr", "N", "N", "N", "N", "N"],
  "frac_coords": [[0.0000, 0.0000, 0.0000], [0.1999, 0.6008, 0.8017], [0.3982, 0.1999, 0.5991], [0.6008, 0.7990, 0.4009], [0.7990, 0.3982, 0.1983], [0.0940, 0.2843, 0.3795], [0.2843, 0.9049, 0.1903], [0.4980, 0.4980, 0.0000], [0.7145, 0.0940, 0.8097], [0.9049, 0.7145, 0.6205]]
}